{"formula": "AgSnB", "functional": "PBE", "state": "optimized geometry", "lattice_angstrom": [[-4.5815, -7.2011, 4.6807], [0.7116, -2.2834, -2.8164], [4.9664, -1.5351, 2.4995]], "species": ["Ag", "Sn", "Ag", "B", "B", "B", "Ag", "Sn", "Sn", "Ag", "B", "Sn"], "frac_coords": [[0.4228, 0.7500, 0.3596], [0.1482, 0.2500, 0.3572], [0.5772, 0.2500, 0.6404], [0.8375, 0.2500, 0.3964], [0.3375, 0.2500, 0.1036], [0.1625, 0.7500, 0.6036], [0.0772, 0.2500, 0.8596], [0.3518, 0.7500, 0.8572], [0.6482, 0.2500, 0.1428], [0.9228, 0.7500, 0.1404], [0.6625, 0.7500, 0.8964], [0.8518, 0.7500, 0.6428]], "formation_energy_kj_per_mol_atoms": 65, "e_tot_ev_per_fu": -11.5}

***

{"formula": "Rb2BaMgCl6", "functional": "PBE", "state": "optimized geometry", "lattice_angstrom": [[7.5925, 0.0000, -0.0679], [0.0000, 7.8167, 0.0000], [-0.0320, 0.0000, 10.8619]], "species": ["Ba", "Cl", "Cl", "Rb", "Cl", "Cl", "Cl", "Rb", "Cl", "Cl", "Rb", "Mg", "Cl", "Rb", "Ba", "Cl", "Cl", "Cl", "Cl", "Mg"], "frac_coords": [[0.0000, 0.5000, 0.5000], [0.1814, 0.2308, 0.0484], [0.2698, 0.6854, 0.0423], [0.4824, 0.4446, 0.2514], [0.5855, 0.0246, 0.2749], [0.7302, 0.3146, 0.9577], [0.2302, 0.1854, 0.4577], [0.9824, 0.0554, 0.7514], [0.6814, 0.2692, 0.5484], [0.4145, 0.9754, 0.7251], [0.0176, 0.9446, 0.2486], [0.0000, 0.5000, 0.0000], [0.9145, 0.5246, 0.2251], [0.5176, 0.5554, 0.7486], [0.5000, 0.0000, 0.0000], [0.3186, 0.7308, 0.4516], [0.7698, 0.8146, 0.5423], [0.0855, 0.4754, 0.7749], [0.8186, 0.7692, 0.9516], [0.5000, 0.0000, 0.5000]], "e_form_raw_mev_per_atom": -2081, "relative_energy_ev_per_atom": 0.0000, "e_tot_ev_per_fu": -37.3}